Here is a geometry-optimized ThSiNi3 structure from the Alexandria database. Energies are from PBE.

```
ThSiNi3
1.0
5.6064 0.0000 0.0000
-2.8032 4.8553 0.0000
0.0000 0.0000 11.7618
Th Si Ni
4 4 12
direct
0.0000 0.0000 0.0000
0.0000 0.0000 0.5000
0.3333 0.6667 0.2500
0.6667 0.3333 0.7500
0.3333 0.6667 0.6373
0.3333 0.6667 0.8627
0.6667 0.3333 0.1373
0.6667 0.3333 0.3627
0.0000 0.5000 0.0000
0.0000 0.5000 0.5000
0.1412 0.2823 0.7500
0.1412 0.8588 0.7500
0.2823 0.1412 0.2500
0.5000 0.0000 0.0000
0.5000 0.0000 0.5000
0.5000 0.5000 0.0000
0.5000 0.5000 0.5000
0.7177 0.8588 0.7500
0.8588 0.1412 0.2500
0.8588 0.7177 0.2500
```

Properties
ΔE to the lowest computed polymorph (meV/atom): 0
Energy relative to the elements, uncorrected (eV per atom): -0.46
Theoretical density (g/cm³): 9.0
Space group: P6_3/mmc